Entry from Alexandria via LeMat-Bulk: RbNa2CrF6 after structural relaxation (PBE+U).

- relative energy among the computed polymorphs (eV/atom) = 0.000
- total energy (Ry/atom) = -0.369
- ρ (g cm⁻³) = 3.2
- total moment (μB per atom) = 0.3000

Unit cell a=5.979 b=6.011 c=10.413 alpha=90.00 beta=124.21 gamma=90.00
Space group P2_1/c (No. 14)
Symmetry-distinct sites (fractional):
Rb  0.000  0.000  0.000 [2 per cell]
Na  0.282  0.071  0.777 [4 per cell]
Cr  0.500  0.000  0.500 [2 per cell]
F  0.142  0.052  0.306 [4 per cell]
F  0.346  0.629  0.107 [4 per cell]
F  0.466  0.202  0.059 [4 per cell]